A plane-wave DFT calculation with PBE-GGA was carried out for crystalline ScCd at its relaxed geometry.

Calculated values
DOS(E_F), states/eV per cell: 7.2
DFT total energy, eV per cell: -29.364

a b c (Å): 7.1733 6.8422 5.8640
angles (deg): 68.24 62.36 49.40
Fractional positions:
Sc (0.0621, 0.6879, 0.0621)
Sc (0.3121, 0.9379, 0.3121)
Sc (0.6879, 0.0621, 0.6879)
Sc (0.9379, 0.3121, 0.9379)
Cd (0.1951, 0.5549, 0.5549)
Cd (0.4451, 0.8049, 0.8049)
Cd (0.5549, 0.1951, 0.1951)
Cd (0.8049, 0.4451, 0.4451)

A plane-wave DFT calculation with PBE-GGA was carried out for crystalline Rb2Pa3InSe8 at its relaxed geometry.

Calculated values
Raw formation energy, eV per atom: -1.239
DOS(E_F), states/eV per cell: 12.5

a b c (Å): 9.7626 9.7626 9.7626
angles (deg): 51.63 51.63 51.63
Fractional positions:
Rb (0.0000, 0.0000, 0.0000)
Rb (0.3605, 0.3605, 0.3605)
Pa (0.3621, 0.3622, 0.8617)
Pa (0.3621, 0.8617, 0.3621)
Pa (0.8617, 0.3621, 0.3622)
In (0.7456, 0.7456, 0.7456)
Se (0.1015, 0.1015, 0.5605)
Se (0.1015, 0.5605, 0.1015)
Se (0.1342, 0.1342, 0.1342)
Se (0.1560, 0.6227, 0.6227)
Se (0.5605, 0.1015, 0.1015)
Se (0.5887, 0.5887, 0.5887)
Se (0.6227, 0.1560, 0.6227)
Se (0.6227, 0.6227, 0.1560)

A plane-wave DFT calculation with PBE-GGA was carried out for crystalline Pr4Nd5Mg2 at its relaxed geometry.

Calculated values
Excess energy over the best structure of this formula in the dataset, eV per atom: 0.0082
DOS(E_F), states/eV per cell: 15.1

a b c (Å): 8.9437 3.5373 11.7382
angles (deg): 90.00 94.30 90.00
Fractional positions:
Pr (0.1487, 0.0000, 0.3835)
Pr (0.2783, 0.0000, 0.9518)
Pr (0.7217, 0.0000, 0.0482)
Pr (0.8513, 0.0000, 0.6165)
Nd (0.2042, 0.5000, 0.6678)
Nd (0.4317, 0.5000, 0.2047)
Nd (0.5000, 0.5000, 0.5000)
Nd (0.5683, 0.5000, 0.7953)
Nd (0.7958, 0.5000, 0.3322)
Mg (0.0532, 0.5000, 0.1310)
Mg (0.9468, 0.5000, 0.8690)